(1)
First-principles (GGA-PBE) data for SiP after structural relaxation, as listed in Alexandria via LeMat-Bulk.

Unit cell a=5.917 b=5.917 c=5.917 alpha=146.61 beta=146.61 gamma=47.93
Atoms (fractional coordinates):
1 Si 0.375 0.625 0.750
2 Si 0.625 0.375 0.250
3 P 0.125 0.875 0.250
4 P 0.875 0.125 0.750

## Properties
raw total energy: -4.923 eV per atom
calculated volume: 15.61 A^3/atom
calculated density: 3.14 g/cm3
space group: No. 141

---

(2)
First-principles (GGA-PBE) data for Mg2ScSi after structural relaxation, as listed in Alexandria via LeMat-Bulk.

Unit cell a=5.644 b=5.644 c=5.644 alpha=137.90 beta=137.90 gamma=61.06
Atoms (fractional coordinates):
1 Mg 0.250 0.750 0.500
2 Mg 0.750 0.250 0.500
3 Sc 0.000 0.000 0.000
4 Si 0.500 0.500 0.000

## Properties
raw total energy: -3.889 eV per atom
calculated volume: 19.98 A^3/atom
calculated density: 2.53 g/cm3
space group: No. 139

---

(3)
First-principles (GGA-PBE) data for InPt2Br after structural relaxation, as listed in Alexandria via LeMat-Bulk.

Unit cell a=5.449 b=5.449 c=5.449 alpha=136.78 beta=136.78 gamma=62.78
Atoms (fractional coordinates):
1 In 0.000 0.000 0.000
2 Pt 0.250 0.750 0.500
3 Pt 0.500 0.500 0.000
4 Br 0.750 0.250 0.500

## Properties
raw total energy: -3.890 eV per atom
calculated volume: 18.73 A^3/atom
calculated density: 12.96 g/cm3
space group: No. 119
relative energy among the computed polymorphs: 0.3665 eV/atom

---

(4)
First-principles (GGA-PBE) data for LaRuSe2 after structural relaxation, as listed in Alexandria via LeMat-Bulk.

Unit cell a=6.092 b=6.092 c=6.092 alpha=40.27 beta=40.27 gamma=40.27
Atoms (fractional coordinates):
1 La 0.000 0.000 0.000
2 Ru 0.500 0.500 0.500
3 Se 0.228 0.228 0.228
4 Se 0.772 0.772 0.772

## Properties
raw total energy: -6.216 eV per atom
calculated volume: 21.30 A^3/atom
calculated density: 7.76 g/cm3
space group: No. 166
relative energy among the computed polymorphs: 0.0048 eV/atom

---

(5)
First-principles (GGA-PBE) data for InPdCl3 after structural relaxation, as listed in Alexandria via LeMat-Bulk.

Unit cell a=4.963 b=4.963 c=4.963 alpha=90.00 beta=90.00 gamma=90.00
Atoms (fractional coordinates):
1 In 0.000 0.000 0.000
2 Pd 0.500 0.500 0.500
3 Cl 0.000 0.500 0.500
4 Cl 0.500 0.000 0.500
5 Cl 0.500 0.500 0.000

## Properties
raw total energy: -3.274 eV per atom
calculated volume: 24.45 A^3/atom
calculated density: 4.45 g/cm3
space group: No. 221
relative energy among the computed polymorphs: 0.0000 eV/atom

---

(6)
First-principles (GGA-PBE) data for Ce2ScSn after structural relaxation, as listed in Alexandria via LeMat-Bulk.

Unit cell a=6.796 b=6.796 c=5.272 alpha=90.00 beta=90.00 gamma=125.81
Atoms (fractional coordinates):
1 Ce 0.181 0.294 0.250
2 Ce 0.294 0.181 0.750
3 Ce 0.706 0.819 0.250
4 Ce 0.819 0.706 0.750
5 Sc 0.193 0.807 0.250
6 Sc 0.807 0.193 0.750
7 Sn 0.320 0.680 0.750
8 Sn 0.680 0.320 0.250

## Properties
raw total energy: -5.985 eV per atom
calculated volume: 24.69 A^3/atom
calculated density: 7.47 g/cm3
space group: No. 63
relative energy among the computed polymorphs: 0.0000 eV/atom
energy of formation: -0.434 eV per atom

---

(7)
First-principles (GGA-PBE) data for MnNbFe after structural relaxation, as listed in Alexandria via LeMat-Bulk.

Unit cell a=4.879 b=4.879 c=4.879 alpha=143.08 beta=143.08 gamma=53.21
Atoms (fractional coordinates):
1 Mn 0.000 0.000 0.000
2 Nb 0.672 0.672 0.000
3 Fe 0.340 0.340 0.000

## Properties
raw total energy: -9.184 eV per atom
calculated volume: 13.89 A^3/atom
calculated density: 8.12 g/cm3
space group: No. 107
relative energy among the computed polymorphs: 0.1877 eV/atom
energy of formation: 0.050 eV per atom

---

(8)
First-principles (GGA-PBE) data for SrIn2Hg after structural relaxation, as listed in Alexandria via LeMat-Bulk.

Unit cell a=3.877 b=5.031 c=6.218 alpha=90.00 beta=100.96 gamma=90.00
Atoms (fractional coordinates):
1 Sr 0.000 0.000 0.000
2 In 0.351 0.500 0.726
3 In 0.649 0.500 0.274
4 Hg 0.500 0.000 0.500

## Properties
raw total energy: -2.134 eV per atom
calculated volume: 29.77 A^3/atom
calculated density: 7.22 g/cm3
space group: No. 10
energy of formation: -0.269 eV per atom

---

(9)
First-principles (GGA-PBE) data for Ba3Sc4 after structural relaxation, as listed in Alexandria via LeMat-Bulk.

Unit cell a=16.667 b=16.667 c=16.667 alpha=166.28 beta=166.28 gamma=19.45
Atoms (fractional coordinates):
1 Ba 0.000 0.000 0.000
2 Ba 0.303 0.303 0.000
3 Ba 0.697 0.697 0.000
4 Sc 0.120 0.120 0.000
5 Sc 0.424 0.424 0.000
6 Sc 0.576 0.576 0.000
7 Sc 0.880 0.880 0.000

## Properties
raw total energy: -4.168 eV per atom
calculated volume: 37.22 A^3/atom
calculated density: 3.77 g/cm3
space group: No. 139
relative energy among the computed polymorphs: 0.0000 eV/atom
energy of formation: 0.274 eV per atom

---

(10)
First-principles (GGA-PBE) data for AlSbI2Br after structural relaxation, as listed in Alexandria via LeMat-Bulk.

Unit cell a=5.404 b=5.404 c=5.701 alpha=90.00 beta=90.00 gamma=90.00
Atoms (fractional coordinates):
1 Al 0.000 0.000 0.000
2 Sb 0.000 0.000 0.500
3 I 0.000 0.500 0.000
4 I 0.500 0.000 0.000
5 Br 0.500 0.500 0.500

## Properties
raw total energy: -2.413 eV per atom
calculated volume: 33.30 A^3/atom
calculated density: 4.81 g/cm3
space group: No. 123
relative energy among the computed polymorphs: 0.0000 eV/atom

---

(11)
First-principles (GGA-PBE) data for BeZn2F6 after structural relaxation, as listed in Alexandria via LeMat-Bulk.

Unit cell a=7.347 b=7.347 c=7.324 alpha=117.83 beta=117.83 gamma=84.20
Atoms (fractional coordinates):
1 Be 0.144 0.856 0.750
2 Be 0.856 0.144 0.250
3 Zn 0.280 0.421 0.474
4 Zn 0.421 0.280 0.974
5 Zn 0.579 0.720 0.026
6 Zn 0.720 0.579 0.526
7 F 0.068 0.178 0.262
8 F 0.145 0.670 0.524
9 F 0.178 0.068 0.762
10 F 0.330 0.855 0.976
11 F 0.376 0.412 0.777
12 F 0.412 0.376 0.277
13 F 0.588 0.624 0.723
14 F 0.624 0.588 0.223
15 F 0.670 0.145 0.024
16 F 0.822 0.932 0.238
17 F 0.855 0.330 0.476
18 F 0.932 0.822 0.738

## Properties
raw total energy: -4.515 eV per atom
calculated volume: 16.98 A^3/atom
calculated density: 2.76 g/cm3
space group: No. 15
relative energy among the computed polymorphs: 0.0000 eV/atom

---

(12)
First-principles (GGA-PBE) data for YFe2Tc after structural relaxation, as listed in Alexandria via LeMat-Bulk.

Unit cell a=8.992 b=8.992 c=8.992 alpha=18.69 beta=18.69 gamma=18.69
Atoms (fractional coordinates):
1 Y 0.000 0.000 0.000
2 Fe 0.496 0.496 0.496
3 Fe 0.760 0.760 0.760
4 Tc 0.235 0.235 0.235

## Properties
raw total energy: -7.898 eV per atom
calculated volume: 16.30 A^3/atom
calculated density: 7.60 g/cm3
space group: No. 160
relative energy among the computed polymorphs: 0.4231 eV/atom
energy of formation: 0.541 eV per atom

---

(13)
First-principles (GGA-PBE) data for BaNa2AlH8 after structural relaxation, as listed in Alexandria via LeMat-Bulk.

Unit cell a=4.717 b=5.409 c=6.631 alpha=86.86 beta=71.68 gamma=77.78
Atoms (fractional coordinates):
1 Ba 0.000 0.000 0.000
2 Na 0.300 0.555 0.356
3 Na 0.700 0.445 0.644
4 Al 0.500 0.000 0.500
5 H 0.166 0.228 0.612
6 H 0.312 0.762 0.633
7 H 0.415 0.957 0.256
8 H 0.423 0.473 0.001
9 H 0.577 0.527 0.999
10 H 0.585 0.043 0.744
11 H 0.688 0.238 0.367
12 H 0.834 0.772 0.388

## Properties
raw total energy: -3.091 eV per atom
calculated volume: 13.08 A^3/atom
calculated density: 2.31 g/cm3
space group: No. 2

---

(14)
First-principles (GGA-PBE) data for YBe2Zn after structural relaxation, as listed in Alexandria via LeMat-Bulk.

Unit cell a=3.017 b=3.017 c=6.673 alpha=90.00 beta=90.00 gamma=90.00
Atoms (fractional coordinates):
1 Y 0.000 0.000 0.000
2 Be 0.000 0.000 0.546
3 Be 0.500 0.500 0.699
4 Zn 0.500 0.500 0.334

## Properties
raw total energy: -3.644 eV per atom
calculated volume: 15.18 A^3/atom
calculated density: 4.71 g/cm3
space group: No. 99
energy of formation: 0.153 eV per atom

---

(15)
First-principles (GGA-PBE) data for HgTeN2Cl after structural relaxation, as listed in Alexandria via LeMat-Bulk.

Unit cell a=4.235 b=4.235 c=5.615 alpha=90.00 beta=90.00 gamma=90.00
Atoms (fractional coordinates):
1 Hg 0.000 0.000 0.000
2 Te 0.500 0.500 0.000
3 N 0.000 0.500 0.500
4 N 0.500 0.000 0.500
5 Cl 0.500 0.500 0.500

## Properties
raw total energy: -2.323 eV per atom
calculated volume: 20.14 A^3/atom
calculated density: 6.46 g/cm3
space group: No. 123
relative energy among the computed polymorphs: 0.2838 eV/atom

---

(16)
First-principles (GGA-PBE) data for BaHoSn after structural relaxation, as listed in Alexandria via LeMat-Bulk.

Unit cell a=5.038 b=5.038 c=8.858 alpha=90.00 beta=90.00 gamma=90.00
Atoms (fractional coordinates):
1 Ba 0.250 0.250 0.148
2 Ba 0.750 0.750 0.852
3 Ho 0.250 0.750 0.500
4 Ho 0.750 0.250 0.500
5 Sn 0.250 0.250 0.723
6 Sn 0.750 0.750 0.277

## Properties
raw total energy: -4.063 eV per atom
calculated volume: 37.47 A^3/atom
calculated density: 6.22 g/cm3
space group: No. 129
energy of formation: -0.562 eV per atom

---

(17)
First-principles (GGA-PBE) data for KAs3 after structural relaxation, as listed in Alexandria via LeMat-Bulk.

Unit cell a=4.403 b=4.403 c=5.812 alpha=90.00 beta=90.00 gamma=90.00
Atoms (fractional coordinates):
1 K 0.000 0.000 0.000
2 As 0.000 0.500 0.523
3 As 0.500 0.000 0.523
4 As 0.500 0.500 0.289

## Properties
raw total energy: -3.862 eV per atom
calculated volume: 28.16 A^3/atom
calculated density: 3.89 g/cm3
space group: No. 99
relative energy among the computed polymorphs: 0.0235 eV/atom
energy of formation: -0.100 eV per atom

---

(18)
First-principles (GGA-PBE) data for AgAsOs2 after structural relaxation, as listed in Alexandria via LeMat-Bulk.

Unit cell a=2.848 b=4.719 c=4.720 alpha=90.00 beta=90.00 gamma=90.00
Atoms (fractional coordinates):
1 Ag 0.000 0.000 0.000
2 As 0.500 0.500 0.000
3 Os 0.000 0.500 0.500
4 Os 0.500 0.000 0.500

## Properties
raw total energy: -6.642 eV per atom
calculated volume: 15.86 A^3/atom
calculated density: 14.74 g/cm3
space group: No. 47
energy of formation: 0.848 eV per atom

---

(19)
First-principles (GGA-PBE) data for KAgClF after structural relaxation, as listed in Alexandria via LeMat-Bulk.

Unit cell a=4.826 b=4.826 c=4.826 alpha=60.00 beta=60.00 gamma=60.00
Atoms (fractional coordinates):
1 K 0.000 0.000 0.000
2 Ag 0.500 0.500 0.500
3 Cl 0.250 0.250 0.250
4 F 0.750 0.750 0.750

## Properties
raw total energy: -3.241 eV per atom
calculated volume: 19.87 A^3/atom
calculated density: 4.21 g/cm3
space group: No. 216
relative energy among the computed polymorphs: 0.2370 eV/atom

---

(20)
First-principles (GGA-PBE) data for Ta2NiAg2S6 after structural relaxation, as listed in Alexandria via LeMat-Bulk.

Unit cell a=6.105 b=6.105 c=7.772 alpha=99.65 beta=99.65 gamma=121.28
Atoms (fractional coordinates):
1 Ta 0.136 0.864 0.000
2 Ta 0.864 0.136 0.000
3 Ni 0.500 0.500 0.000
4 Ag 0.339 0.661 0.500
5 Ag 0.661 0.339 0.500
6 S 0.075 0.075 0.780
7 S 0.256 0.595 0.178
8 S 0.405 0.744 0.822
9 S 0.595 0.256 0.178
10 S 0.744 0.405 0.822
11 S 0.925 0.925 0.220

## Properties
raw total energy: -5.983 eV per atom
calculated volume: 21.15 A^3/atom
calculated density: 5.92 g/cm3
space group: No. 12

---

(21)
First-principles (GGA-PBE) data for LaAu3Cl after structural relaxation, as listed in Alexandria via LeMat-Bulk.

Unit cell a=5.740 b=5.740 c=5.740 alpha=90.00 beta=90.00 gamma=90.00
Atoms (fractional coordinates):
1 La 0.000 0.000 0.000
2 Au 0.000 0.000 0.500
3 Au 0.000 0.500 0.000
4 Au 0.500 0.000 0.000
5 Cl 0.500 0.500 0.500

## Properties
raw total energy: -2.948 eV per atom
calculated volume: 37.82 A^3/atom
calculated density: 6.72 g/cm3
space group: No. 221
relative energy among the computed polymorphs: 0.1189 eV/atom

---

(22)
First-principles (GGA-PBE) data for PbS2F2 after structural relaxation, as listed in Alexandria via LeMat-Bulk.

Unit cell a=9.673 b=9.673 c=9.673 alpha=160.25 beta=160.25 gamma=28.07
Atoms (fractional coordinates):
1 Pb 0.000 0.000 0.000
2 S 0.250 0.750 0.500
3 S 0.750 0.250 0.500
4 F 0.434 0.434 0.000
5 F 0.566 0.566 0.000

## Properties
raw total energy: -4.161 eV per atom
calculated volume: 20.66 A^3/atom
calculated density: 4.97 g/cm3
space group: No. 139
relative energy among the computed polymorphs: 0.0000 eV/atom

---

(23)
First-principles (GGA-PBE) data for Ni2SbRh after structural relaxation, as listed in Alexandria via LeMat-Bulk.

Unit cell a=3.303 b=3.303 c=5.331 alpha=90.00 beta=90.00 gamma=90.00
Atoms (fractional coordinates):
1 Ni 0.000 0.000 0.241
2 Ni 0.000 0.000 0.759
3 Sb 0.500 0.500 0.500
4 Rh 0.500 0.500 0.000

## Properties
raw total energy: -5.710 eV per atom
calculated volume: 14.54 A^3/atom
calculated density: 9.76 g/cm3
space group: No. 123

---

(24)
First-principles (GGA-PBE) data for Ru4Au after structural relaxation, as listed in Alexandria via LeMat-Bulk.

Unit cell a=4.764 b=4.764 c=4.764 alpha=99.46 beta=99.46 gamma=132.16
Atoms (fractional coordinates):
1 Ru 0.089 0.306 0.395
2 Ru 0.306 0.911 0.217
3 Ru 0.694 0.089 0.783
4 Ru 0.911 0.694 0.605
5 Au 0.500 0.500 0.000

## Properties
raw total energy: -7.792 eV per atom
calculated volume: 14.65 A^3/atom
calculated density: 13.63 g/cm3
space group: No. 87
relative energy among the computed polymorphs: 0.0000 eV/atom
energy of formation: 0.285 eV per atom

---

(25)
First-principles (GGA-PBE) data for Rb3VOs after structural relaxation, as listed in Alexandria via LeMat-Bulk.

Unit cell a=6.482 b=6.482 c=6.482 alpha=90.00 beta=90.00 gamma=90.00
Atoms (fractional coordinates):
1 Rb 0.000 0.000 0.500
2 Rb 0.000 0.500 0.000
3 Rb 0.500 0.000 0.000
4 V 0.500 0.500 0.500
5 Os 0.000 0.000 0.000

## Properties
raw total energy: -2.769 eV per atom
calculated volume: 54.47 A^3/atom
calculated density: 3.03 g/cm3
space group: No. 221
energy of formation: 1.882 eV per atom

---

(26)
First-principles (GGA-PBE) data for Zr2CoAs after structural relaxation, as listed in Alexandria via LeMat-Bulk.

Unit cell a=4.631 b=4.631 c=4.631 alpha=60.00 beta=60.00 gamma=60.00
Atoms (fractional coordinates):
1 Zr 0.000 0.000 0.000
2 Zr 0.250 0.250 0.250
3 Co 0.500 0.500 0.500
4 As 0.750 0.750 0.750

## Properties
raw total energy: -7.123 eV per atom
calculated volume: 17.56 A^3/atom
calculated density: 7.48 g/cm3
space group: No. 216
energy of formation: 0.090 eV per atom

---

(27)
First-principles (GGA-PBE) data for LaMo after structural relaxation, as listed in Alexandria via LeMat-Bulk.

Unit cell a=4.896 b=4.896 c=4.896 alpha=41.38 beta=41.38 gamma=41.38
Atoms (fractional coordinates):
1 La 0.000 0.000 0.000
2 Mo 0.500 0.500 0.500

## Properties
raw total energy: -6.988 eV per atom
calculated volume: 23.17 A^3/atom
calculated density: 8.42 g/cm3
space group: No. 166
relative energy among the computed polymorphs: 0.6505 eV/atom
energy of formation: 0.891 eV per atom